No. 1
The following is a PBE calculation of an optimized crystal structure of PmPrTmTh, from Alexandria via LeMat-Bulk.

Structure (POSCAR):
```
PmPrTmTh
1.0
-4.210 3.858 -0.491
-5.146 -1.067 2.286
-1.754 2.929 4.603
Pm Tm Pr Th
1 1 1 1
direct
0.000 0.000 0.000
0.500 0.500 0.500
0.250 0.250 0.250
0.750 0.750 0.750
```

Calculated values
D(E_F) ... 7.8 states/eV per cell
ΔH_f (0 K) ... 61 kJ/mol of formula units
M_tot ... 0.00 μB/atom
Total DFT energy (no corrections) ... -5.198 eV per atom
Space-group type ... No. 216
Distance to the lowest polymorph of the same formula ... 0.137 eV per atom

---

No. 2
The following is a PBE calculation of an optimized crystal structure of Pm4PrTm2Th, from Alexandria via LeMat-Bulk.

Structure (POSCAR):
```
Pm4PrTm2Th
1.0
5.103 0.000 0.000
0.000 4.945 1.152
0.000 2.613 11.154
Pm Pr Th Tm
4 1 1 2
direct
0.500 0.256 0.745
0.000 0.246 0.254
0.000 0.754 0.746
0.500 0.744 0.255
0.500 0.500 0.000
0.000 0.500 0.500
0.000 0.000 0.000
0.500 0.000 0.500
```

Calculated values
D(E_F) ... 12.3 states/eV per cell
ΔH_f (0 K) ... 26 kJ/mol of formula units
M_tot ... 0.00 μB/atom
Total DFT energy (no corrections) ... -4.985 eV per atom
Space-group type ... No. 10

---

No. 3
The following is a PBE calculation of an optimized crystal structure of Pm3PrTmTh, from Alexandria via LeMat-Bulk.

Structure (POSCAR):
```
Pm3PrTmTh
1.0
-1.609 -4.799 -0.813
3.196 -2.275 7.102
-10.303 3.421 0.192
Pm Th Tm Pr
6 2 2 2
direct
0.750 0.385 0.205
0.250 0.135 0.955
0.750 0.865 0.045
0.750 0.371 0.544
0.250 0.615 0.795
0.250 0.629 0.456
0.750 0.379 0.878
0.250 0.621 0.122
0.750 0.872 0.372
0.250 0.128 0.628
0.750 0.879 0.707
0.250 0.121 0.293
```

Calculated values
D(E_F) ... 18.0 states/eV per cell
ΔH_f (0 K) ... 18 kJ/mol of formula units
M_tot ... 0.00 μB/atom
Total DFT energy (no corrections) ... -5.122 eV per atom
Space-group type ... No. 11

---

No. 4
The following is a PBE calculation of an optimized crystal structure of PmPrTmTh, from Alexandria via LeMat-Bulk.

Structure (POSCAR):
```
PmPrTmTh
1.0
3.615 0.000 -0.002
-1.806 3.130 0.003
-1.805 -1.056 11.700
Tm Pm Th Pr
1 1 1 1
direct
0.131 0.964 0.109
0.477 0.136 0.628
0.305 0.550 0.871
0.965 0.381 0.362
```

Calculated values
D(E_F) ... 5.8 states/eV per cell
ΔH_f (0 K) ... 8 kJ/mol of formula units
M_tot ... 0.00 μB/atom
Total DFT energy (no corrections) ... -5.335 eV per atom
Space-group type ... No. 160
Distance to the lowest polymorph of the same formula ... 0.000 eV per atom

---

No. 5
The following is a PBE calculation of an optimized crystal structure of PmPrTm5Th2, from Alexandria via LeMat-Bulk.

Structure (POSCAR):
```
PmPrTm5Th2
1.0
8.888 0.000 0.000
0.000 8.888 0.000
-4.444 -4.444 7.520
Th Tm Pm Pr
4 10 2 2
direct
0.118 0.382 0.000
0.882 0.618 0.000
0.618 0.118 0.000
0.382 0.882 0.000
0.570 0.657 0.727
0.430 0.343 0.273
0.843 0.930 0.273
0.000 0.000 0.000
0.070 0.570 0.727
0.930 0.430 0.273
0.500 0.500 0.000
0.157 0.070 0.727
0.657 0.157 0.727
0.343 0.843 0.273
0.250 0.750 0.500
0.750 0.250 0.500
0.250 0.250 0.500
0.750 0.750 0.500
```

Calculated values
D(E_F) ... 25.0 states/eV per cell
ΔH_f (0 K) ... 282 kJ/mol of formula units
M_tot ... 0.00 μB/atom
Total DFT energy (no corrections) ... -4.868 eV per atom
Space-group type ... No. 140

---

No. 6
The following is a PBE calculation of an optimized crystal structure of PmPrTm3Th, from Alexandria via LeMat-Bulk.

Structure (POSCAR):
```
PmPrTm3Th
1.0
-4.457 0.591 3.372
6.707 -5.652 5.172
2.862 5.866 2.756
Tm Pr Pm Th
6 2 2 2
direct
0.476 0.952 0.255
0.157 0.315 0.745
0.843 0.685 0.255
0.221 0.443 0.246
0.524 0.048 0.745
0.779 0.557 0.754
0.353 0.707 0.959
0.647 0.293 0.041
0.351 0.702 0.538
0.649 0.298 0.462
0.947 0.894 0.735
0.053 0.106 0.265
```

Calculated values
D(E_F) ... 16.2 states/eV per cell
ΔH_f (0 K) ... 128 kJ/mol of formula units
M_tot ... 0.00 μB/atom
Total DFT energy (no corrections) ... -4.840 eV per atom
Space-group type ... No. 12